Here is a PBEsol-optimized structure of InTeOs2 from Alexandria. Energies are from meta-GGA SCAN.

## Properties
Final energy, eV per atom: -52.52
Magnetization, μB per formula unit: 0.00
Symmetry: C2/m, No. 12

Cell lengths 5.3730, 5.3730, 3.0196 Å; angles 106.27, 106.27, 110.64 degrees
Element x y z (fractional)
In: 0.0000 0.0000 0.0000
Te: 0.5000 0.5000 0.0000
Os: 0.0000 0.5000 0.5000
Os: 0.5000 0.0000 0.5000

=====

Here is a PBEsol-optimized structure of LiGaMo2O8 from Alexandria. Energies are from meta-GGA SCAN.

## Properties
Final energy, eV per atom: -13.69
Magnetization, μB per formula unit: 0.00
Symmetry: P-1, No. 2

Cell lengths 6.7155, 7.1053, 7.1638 Å; angles 90.60, 105.68, 110.34 degrees
Element x y z (fractional)
Li: 0.2289 0.2421 0.0545
Li: 0.7711 0.7579 0.9455
Ga: 0.3983 0.8189 0.5984
Ga: 0.6017 0.1811 0.4016
Mo: 0.1810 0.2723 0.5413
Mo: 0.3361 0.7924 0.0768
Mo: 0.6639 0.2076 0.9232
Mo: 0.8190 0.7277 0.4587
O: 0.0922 0.8318 0.9818
O: 0.1126 0.8604 0.5439
O: 0.2325 0.5327 0.5534
O: 0.2586 0.5360 0.0701
O: 0.2918 0.2302 0.7800
O: 0.3179 0.2318 0.3722
O: 0.4118 0.8833 0.3417
O: 0.4787 0.8551 0.8792
O: 0.5213 0.1449 0.1208
O: 0.5882 0.1167 0.6583
O: 0.6821 0.7682 0.6278
O: 0.7082 0.7698 0.2200
O: 0.7414 0.4640 0.9299
O: 0.7675 0.4673 0.4466
O: 0.8874 0.1396 0.4561
O: 0.9078 0.1682 0.0182

=====

Here is a PBEsol-optimized structure of TaTe4Ir from Alexandria. Energies are from meta-GGA SCAN.

## Properties
Final energy, eV per atom: -46.10
Magnetization, μB per formula unit: 0.80
Symmetry: F-43m, No. 216

Cell lengths 5.8657, 5.8657, 5.8657 Å; angles 60.00, 60.00, 60.00 degrees
Element x y z (fractional)
Ta: 0.0000 0.0000 0.0000
Te: 0.3755 0.3755 0.3755
Te: 0.3755 0.3755 0.8736
Te: 0.3755 0.8736 0.3755
Te: 0.8736 0.3755 0.3755
Ir: 0.7500 0.7500 0.7500